# GGA+U LiCo3O2F6, optimized geometry
data_LiCo3O2F6
_symmetry_space_group_name_H-M 'P 1'
_symmetry_Int_Tables_number 1
_symmetry_space_group_name_Hall 'P 1'
_cell_length_a 4.572
_cell_length_b 5.514
_cell_length_c 10.163
_cell_angle_alpha 97.13
_cell_angle_beta 89.30
_cell_angle_gamma 89.92
loop_
_atom_site_label
_atom_site_fract_x
_atom_site_fract_y
_atom_site_fract_z
Li1 0.500 0.000 0.500
F1 0.207 0.721 0.072
F2 0.304 0.242 0.071
Co1 0.027 0.268 0.757
Li2 0.000 0.000 0.000
F3 0.721 0.033 0.687
F4 0.217 0.966 0.822
O1 0.812 0.530 0.667
Co2 0.526 0.730 0.745
F5 0.201 0.226 0.576
F6 0.696 0.758 0.929
F7 0.783 0.034 0.178
Co3 0.000 0.500 0.500
O2 0.689 0.530 0.167
F8 0.793 0.279 0.928
F9 0.310 0.726 0.578
O3 0.188 0.470 0.333
Co4 0.500 0.500 0.000
F10 0.279 0.967 0.313
Co5 0.474 0.270 0.255
Co6 0.973 0.732 0.243
O4 0.311 0.470 0.833
F11 0.690 0.274 0.422
F12 0.799 0.774 0.424
# Relative energy among the computed polymorphs (meV/atom): 0
# VASP energy (eV per atom): -5.0235